Record 1
GdSbPd2 | PBE | relaxed

* electronic total energy: -7.886 eV per atom
* magnetic moment: 1.78 μB/atom
* raw formation energy: -285 kJ/mol of formula units
* N(E_F): 1.86 states/eV per cell
* space-group type: P4/mmm

Unit cell a=4.093 b=4.469 c=4.469 alpha=90.00 beta=90.00 gamma=90.00
Site moments in Bohr magnetons follow the coordinates.
Sites, in units of the cell vectors:
Pd: 0.000 0.500 0.000  0.01
Pd: 0.000 0.000 0.500  0.01
Gd: 0.500 0.500 0.500  7.00
Sb: 0.500 0.000 0.000  -0.02

Record 2
TcHgPt3 | PBE | relaxed

* electronic total energy: -3.929 eV per atom
* magnetic moment: 0.96 μB/atom
* ΔH_f (0 K): 1.83 eV per atom
* relative energy among the computed polymorphs: 709 meV per atom
* N(E_F): 3.21 states/eV per cell
* space-group type: Pm-3m

Unit cell a=4.982 b=4.982 c=4.982 alpha=90.00 beta=90.00 gamma=90.00
Site moments in Bohr magnetons follow the coordinates.
Sites, in units of the cell vectors:
Pt: 0.500 0.000 0.000  0.24
Pt: 0.000 0.000 0.500  0.10
Pt: 0.000 0.500 0.000  0.13
Tc: 0.500 0.500 0.500  3.82
Hg: 0.000 0.000 0.000  0.01

Record 3
Zn2GaAg5 | PBE | relaxed

* electronic total energy: -2.032 eV per atom
* magnetic moment: 0.00 μB/atom
* ΔH_f (0 K): 0.45 eV per atom
* relative energy among the computed polymorphs: 461 meV per atom
* N(E_F): 3.33 states/eV per cell
* space-group type: P4/mmm

Unit cell a=4.740 b=6.149 c=6.149 alpha=90.00 beta=90.00 gamma=90.00
Sites, in units of the cell vectors:
Ga: 0.000 0.000 0.000
Zn: 0.500 0.000 0.500
Zn: 0.500 0.500 0.000
Ag: 0.000 0.717 0.717
Ag: 0.000 0.283 0.717
Ag: 0.000 0.717 0.283
Ag: 0.000 0.283 0.283
Ag: 0.500 0.000 0.000

Record 4
Cr3CdSb | PBE | relaxed

* electronic total energy: -5.648 eV per atom
* magnetic moment: 2.59 μB/atom
* relative energy among the computed polymorphs: 0 meV per atom
* raw formation energy: 547 kJ/mol of formula units
* N(E_F): 2.92 states/eV per cell
* space-group type: Pm-3m

Unit cell a=5.138 b=5.138 c=5.138 alpha=90.00 beta=90.00 gamma=90.00
Site moments in Bohr magnetons follow the coordinates.
Sites, in units of the cell vectors:
Sb: 0.000 0.000 0.000  -0.13
Cr: 0.500 0.000 0.000  3.79
Cr: 0.000 0.000 0.500  3.96
Cr: 0.000 0.500 0.000  3.81
Cd: 0.500 0.500 0.500  -0.05

Record 5
Pr2CdNi2 | PBE | relaxed

* electronic total energy: -4.748 eV per atom
* magnetic moment: 0.00 μB/atom
* ΔH_f (0 K): -0.34 eV per atom
* N(E_F): 6.38 states/eV per cell
* space-group type: P4/mbm

Unit cell a=7.527 b=7.527 c=3.914 alpha=90.00 beta=90.00 gamma=90.00
Sites, in units of the cell vectors:
Pr: 0.178 0.322 0.500
Pr: 0.678 0.178 0.500
Pr: 0.822 0.678 0.500
Pr: 0.322 0.822 0.500
Cd: 0.500 0.500 0.000
Cd: 0.000 0.000 0.000
Ni: 0.884 0.384 0.000
Ni: 0.384 0.116 0.000
Ni: 0.116 0.616 0.000
Ni: 0.616 0.884 0.000

Record 6
As2RhBrCl | PBE | relaxed

* electronic total energy: -2.974 eV per atom
* magnetic moment: 0.00 μB/atom
* relative energy among the computed polymorphs: 763 meV per atom
* raw formation energy: 511 kJ/mol of formula units
* N(E_F): 7.66 states/eV per cell
* space-group type: P4/mmm

Unit cell a=5.084 b=4.448 c=5.084 alpha=90.00 beta=90.00 gamma=90.00
Sites, in units of the cell vectors:
As: 0.000 0.000 0.500
As: 0.500 0.000 0.000
Rh: 0.000 0.500 0.000
Br: 0.500 0.500 0.500
Cl: 0.000 0.000 0.000

Record 7
NaCa2Tl2Sn2 | PBE | relaxed

* electronic total energy: -2.789 eV per atom
* magnetic moment: 0.00 μB/atom
* ΔH_f (0 K): -0.21 eV per atom
* N(E_F): 3.08 states/eV per cell
* space-group type: R-3m

Unit cell a=5.359 b=5.359 c=9.556 alpha=73.71 beta=73.71 gamma=60.00
Sites, in units of the cell vectors:
Sn: 0.258 0.258 0.227
Sn: 0.742 0.742 0.773
Tl: 0.431 0.431 0.708
Tl: 0.569 0.569 0.292
Ca: 0.131 0.131 0.608
Ca: 0.869 0.869 0.392
Na: 0.000 0.000 0.000

Record 8
Ti2Co2As | PBE | relaxed

* electronic total energy: -6.021 eV per atom
* magnetic moment: 0.11 μB/atom
* ΔH_f (0 K): 0.91 eV per atom
* relative energy among the computed polymorphs: 1299 meV per atom
* N(E_F): 7.08 states/eV per cell
* space-group type: P4/mmm

Unit cell a=4.187 b=4.187 c=4.853 alpha=90.00 beta=90.00 gamma=90.00
Site moments in Bohr magnetons follow the coordinates.
Sites, in units of the cell vectors:
Co: 0.000 0.500 0.000  0.27
Co: 0.500 0.000 0.000  0.27
Ti: 0.000 0.000 0.500  0.03
Ti: 0.000 0.000 0.000  -0.05
As: 0.500 0.500 0.500  0.01

Record 9
Zr5Co2Te2 | PBE | relaxed

* electronic total energy: -7.580 eV per atom
* magnetic moment: 0.00 μB/atom
* raw formation energy: -481 kJ/mol of formula units
* N(E_F): 13.53 states/eV per cell
* space-group type: Cmce

Unit cell a=7.283 b=7.295 c=8.085 alpha=90.00 beta=63.23 gamma=90.00
Sites, in units of the cell vectors:
Zr: 0.730 0.338 0.224
Zr: 0.500 0.500 0.000
Zr: 0.230 0.162 0.224
Zr: 0.046 0.662 0.224
Zr: 0.546 0.838 0.224
Zr: 0.954 0.338 0.776
Zr: 0.000 0.000 0.000
Zr: 0.770 0.838 0.776
Zr: 0.454 0.162 0.776
Zr: 0.270 0.662 0.776
Co: 0.370 0.870 0.000
Co: 0.870 0.630 0.000
Co: 0.630 0.130 0.000
Co: 0.130 0.370 0.000
Te: 0.293 0.500 0.414
Te: 0.707 0.500 0.586
Te: 0.207 0.000 0.586
Te: 0.793 0.000 0.414

Record 10
Na3Cd | PBE | relaxed

* electronic total energy: -1.260 eV per atom
* magnetic moment: 0.00 μB/atom
* ΔH_f (0 K): -0.04 eV per atom
* N(E_F): 1.26 states/eV per cell
* space-group type: Pm-3m

Unit cell a=4.941 b=4.933 c=4.935 alpha=90.00 beta=90.00 gamma=90.00
Sites, in units of the cell vectors:
Na: 0.500 0.500 0.083
Na: 0.000 0.000 0.083
Na: 0.000 0.500 0.583
Cd: 0.500 0.000 0.583

Record 11
Cs2DyNp3O12 | PBE | relaxed

* electronic total energy: -8.585 eV per atom
* magnetic moment: 0.11 μB/atom
* raw formation energy: -4814 kJ/mol of formula units
* N(E_F): 11.34 states/eV per cell
* space-group type: R-3m

Unit cell a=7.814 b=7.814 c=7.814 alpha=61.55 beta=61.55 gamma=61.55
Site moments in Bohr magnetons follow the coordinates.
Sites, in units of the cell vectors:
O: 0.070 0.070 0.661  -0.03
O: 0.339 0.930 0.930  -0.03
O: 0.070 0.689 0.689  -0.04
O: 0.930 0.339 0.930  -0.03
O: 0.311 0.311 0.930  -0.04
O: 0.661 0.070 0.070  -0.03
O: 0.689 0.070 0.689  -0.04
O: 0.930 0.311 0.311  -0.04
O: 0.930 0.930 0.339  -0.03
O: 0.311 0.930 0.311  -0.04
O: 0.070 0.661 0.070  -0.03
O: 0.689 0.689 0.070  -0.04
Np: 0.000 0.000 0.500  0.82
Np: 0.500 0.000 0.000  0.82
Np: 0.000 0.500 0.000  0.82
Dy: 0.000 0.000 0.000  -0.01
Cs: 0.379 0.379 0.379  0.00
Cs: 0.621 0.621 0.621  0.00

Record 12
YTlMo2 | PBE | relaxed

* electronic total energy: -6.904 eV per atom
* magnetic moment: 0.00 μB/atom
* ΔH_f (0 K): 0.72 eV per atom
* relative energy among the computed polymorphs: 571 meV per atom
* N(E_F): 4.85 states/eV per cell
* space-group type: Cmmm

Unit cell a=2.969 b=2.969 c=9.540 alpha=90.00 beta=90.00 gamma=104.73
Sites, in units of the cell vectors:
Mo: 0.000 0.000 0.491
Mo: 0.000 0.000 0.009
Y: 0.500 0.500 0.750
Tl: 0.500 0.500 0.250